# PBE-GGA CuPSO2, relaxed
# VASP energy (eV per atom): -4.29
# N(E_F) (states/eV/f.u.): 4.50
data_CuPSO2
_chemical_formula_sum 'Cu1 P1 S1 O2'
_symmetry_space_group_name_H-M 'P 4/m m m'
_symmetry_Int_Tables_number 123
_symmetry_space_group_name_Hall '-P 4 2'
_cell_length_a 3.541
_cell_length_b 3.541
_cell_length_c 6.107
_cell_angle_alpha 90.00
_cell_angle_beta 90.00
_cell_angle_gamma 90.00
loop_
_atom_site_label
_atom_site_type_symbol
_atom_site_fract_x
_atom_site_fract_y
_atom_site_fract_z
Cu1 Cu 0.000 0.000 0.000
P1 P 0.000 0.000 0.500
S1 S 0.500 0.500 0.500
O1 O 0.000 0.500 0.000

***

# PBE-GGA Zn2CrPd5, relaxed
# VASP energy (eV per atom): -5.06
# Formation enthalpy at 0 K (meV per atom): -290
# N(E_F) (states/eV/f.u.): 5.27
data_Zn2CrPd5
_chemical_formula_sum 'Zn4 Cr2 Pd10'
_symmetry_space_group_name_H-M 'P b a m'
_symmetry_Int_Tables_number 55
_cell_length_a 5.377
_cell_length_b 10.239
_cell_length_c 4.330
_cell_angle_alpha 90.00
_cell_angle_beta 90.00
_cell_angle_gamma 90.00
loop_
_symmetry_equiv_pos_as_xyz
'x,y,z'
'-x,-y,-z'
'-x,-y,z'
'x,y,-z'
'x+1/2,-y+1/2,-z'
'-x+1/2,y+1/2,z'
'-x+1/2,y+1/2,-z'
'x+1/2,-y+1/2,z'
loop_
_atom_site_label
_atom_site_type_symbol
_atom_site_fract_x
_atom_site_fract_y
_atom_site_fract_z
Zn1 Zn 0.158 0.126 0.000
Cr1 Cr 0.000 0.500 0.500
Pd1 Pd 0.000 0.000 0.500
Pd2 Pd 0.150 0.736 0.500
Pd3 Pd 0.163 0.382 0.000

***

# PBE-GGA PrCd3Hg2, relaxed
# ΔE to the lowest computed polymorph (eV per atom): 0.000
# VASP energy (eV per atom): -1.60
# Formation enthalpy at 0 K (meV per atom): -243
# N(E_F) (states/eV/f.u.): 3.00
data_PrCd3Hg2
_chemical_formula_sum 'Pr4 Cd12 Hg8'
_symmetry_space_group_name_H-M 'C 1 2/m 1'
_symmetry_Int_Tables_number 12
_cell_length_a 17.499
_cell_length_b 4.754
_cell_length_c 7.630
_cell_angle_alpha 90.00
_cell_angle_beta 111.08
_cell_angle_gamma 90.00
loop_
_symmetry_equiv_pos_as_xyz
'x,y,z'
'-x,-y,-z'
'-x,y,-z'
'x,-y,z'
'x+1/2,y+1/2,z'
'-x+1/2,-y+1/2,-z'
'-x+1/2,y+1/2,-z'
'x+1/2,-y+1/2,z'
loop_
_atom_site_label
_atom_site_type_symbol
_atom_site_fract_x
_atom_site_fract_y
_atom_site_fract_z
Pr1 Pr 0.119 0.000 0.187
Cd1 Cd 0.072 0.000 0.690
Cd2 Cd 0.127 0.500 0.511
Cd3 Cd 0.197 0.500 0.929
Hg1 Hg 0.018 0.500 0.828
Hg2 Hg 0.240 0.000 0.660

***

# PBE-GGA Cr2AsI, relaxed
# ΔE to the lowest computed polymorph (eV per atom): 0.252
# VASP energy (eV per atom): -5.83
# N(E_F) (states/eV/f.u.): 1.14
data_Cr2AsI
_chemical_formula_sum 'Cr8 As4 I4'
_symmetry_space_group_name_H-M 'F m -3 m'
_symmetry_Int_Tables_number 225
_symmetry_space_group_name_Hall '-F 4 2 3'
_cell_length_a 6.856
_cell_length_b 6.856
_cell_length_c 6.856
_cell_angle_alpha 90.00
_cell_angle_beta 90.00
_cell_angle_gamma 90.00
loop_
_atom_site_label
_atom_site_type_symbol
_atom_site_fract_x
_atom_site_fract_y
_atom_site_fract_z
Cr1 Cr 0.250 0.250 0.250
As1 As 0.000 0.000 0.000
I1 I 0.000 0.000 0.500

***

# PBE-GGA Ge2BiPd2, relaxed
# ΔE to the lowest computed polymorph (eV per atom): 0.153
# VASP energy (eV per atom): -4.77
# Formation enthalpy at 0 K (meV per atom): -69
# N(E_F) (states/eV/f.u.): 3.20
data_Ge2BiPd2
_chemical_formula_sum 'Ge4 Bi2 Pd4'
_symmetry_space_group_name_H-M 'P 4/m b m'
_symmetry_Int_Tables_number 127
_symmetry_space_group_name_Hall '-P 4 2ab'
_cell_length_a 7.863
_cell_length_b 7.863
_cell_length_c 3.138
_cell_angle_alpha 90.00
_cell_angle_beta 90.00
_cell_angle_gamma 90.00
loop_
_atom_site_label
_atom_site_type_symbol
_atom_site_fract_x
_atom_site_fract_y
_atom_site_fract_z
Ge1 Ge 0.137 0.363 0.000
Bi1 Bi 0.000 0.000 0.000
Pd1 Pd 0.141 0.641 0.500

***

# PBE-GGA PrNdCoNi, relaxed
# ΔE to the lowest computed polymorph (eV per atom): 0.098
# VASP energy (eV per atom): -5.67
# Formation enthalpy at 0 K (meV per atom): -64
# N(E_F) (states/eV/f.u.): 2.79
data_PrNdCoNi
_chemical_formula_sum 'Pr4 Nd4 Co4 Ni4'
_symmetry_space_group_name_H-M 'F -4 3 m'
_symmetry_Int_Tables_number 216
_symmetry_space_group_name_Hall 'F -4 2 3'
_cell_length_a 6.965
_cell_length_b 6.965
_cell_length_c 6.965
_cell_angle_alpha 90.00
_cell_angle_beta 90.00
_cell_angle_gamma 90.00
loop_
_atom_site_label
_atom_site_type_symbol
_atom_site_fract_x
_atom_site_fract_y
_atom_site_fract_z
Pr1 Pr 0.000 0.000 0.000
Nd1 Nd 0.000 0.000 0.500
Co1 Co 0.250 0.250 0.250
Ni1 Ni 0.250 0.250 0.750